Below is a relaxed structure of Hf3GaC, with properties calculated at the GGA-PBE level.

Lattice parameters (Å, degrees): 4.3852 4.5173 9.0025 90.00 90.01 90.00
Fractional coordinates of all 10 atoms:
Hf1 0.5001 0.2500 0.8827
Hf2 0.4999 0.7500 0.1173
Hf3 0.0000 0.7500 0.3698
Hf4 0.0000 0.2500 0.6302
Hf5 0.5000 0.2500 0.3770
Hf6 0.5000 0.7500 0.6230
Ga1 0.9999 0.2500 0.1376
Ga2 0.0001 0.7500 0.8624
C1 0.4999 0.7500 0.3650
C2 0.5001 0.2500 0.6350

Summary:
Its mass density is 11494 kg/m3. Its space group is Pmma, No. 51. The total magnetization is 0.00 μB per cell. The calculation puts the energy relative to the elements at -0.469 eV per atom.

---

Below is a relaxed structure of Hf2GaC, with properties calculated at the GGA-PBE level.

Lattice parameters (Å, degrees): 3.2768 3.2768 7.3473 77.12 77.12 60.00
Fractional coordinates of all 4 atoms:
Hf1 0.0581 0.0581 0.8256
Hf2 0.2744 0.2744 0.1769
Ga1 0.4998 0.4998 0.5006
C1 0.6677 0.6677 0.9969

Summary:
Its mass density is 11035 kg/m3. Its space group is R3m, No. 160. The total magnetization is 0.00 μB per cell. The calculation puts the energy relative to the elements at -0.737 eV per atom.

---

Below is a relaxed structure of Hf2GaC, with properties calculated at the GGA-PBE level.

Lattice parameters (Å, degrees): 6.5819 6.5819 5.6230 54.18 54.18 90.00
Fractional coordinates of all 8 atoms:
C1 0.5000 0.5000 0.0000
C2 0.2500 0.7500 0.5000
Hf1 0.5604 0.1250 0.2500
Hf2 0.1896 0.6250 0.2500
Hf3 0.3750 0.4396 0.7500
Hf4 0.8750 0.8104 0.7500
Ga1 0.0000 0.0000 0.0000
Ga2 0.7500 0.2500 0.5000

Summary:
Its mass density is 10658 kg/m3. Its space group is I-42d, No. 122. The total magnetization is 0.00 μB per cell. The calculation puts the energy relative to the elements at -0.158 eV per atom.

---

Below is a relaxed structure of Hf7Ga2C2, with properties calculated at the GGA-PBE level.

Lattice parameters (Å, degrees): 6.8369 6.1278 6.1278 111.27 94.76 94.76
Fractional coordinates of all 11 atoms:
Hf1 0.1962 0.9212 0.5043
Hf2 0.8038 0.4957 0.0788
Hf3 0.8038 0.0788 0.4957
Hf4 0.1962 0.5043 0.9212
Hf5 0.0000 0.0000 0.0000
Hf6 0.7962 0.5932 0.5932
Hf7 0.2038 0.4068 0.4068
Ga1 0.5000 0.2924 0.7076
Ga2 0.5000 0.7076 0.2924
C1 0.8775 0.2918 0.2918
C2 0.1225 0.7082 0.7082

Summary:
Its mass density is 9914 kg/m3. Its space group is C2/m, No. 12. The total magnetization is 0.00 μB per cell. The calculation puts the energy relative to the elements at 0.016 eV per atom.

---

Below is a relaxed structure of Hf2GaCI, with properties calculated at the GGA-PBE level.

Lattice parameters (Å, degrees): 5.3313 4.0766 5.3313 90.00 90.00 90.00
Fractional coordinates of all 5 atoms:
I1 0.0000 0.0000 0.0000
C1 0.0000 0.5000 0.0000
Hf1 0.0000 0.0000 0.5000
Hf2 0.5000 0.0000 0.0000
Ga1 0.5000 0.5000 0.5000

Summary:
Its mass density is 8106 kg/m3. For the formation energy (no corrections), the calculation gives 1.7938 eV/atom. Its space group is P4/mmm, No. 123. The total magnetization is 0.00 μB per cell.

---

Below is a relaxed structure of Hf2InGaC, with properties calculated at the GGA-PBE level.

Lattice parameters (Å, degrees): 5.2966 4.6608 5.2966 90.00 90.00 90.00
Fractional coordinates of all 5 atoms:
C1 0.5000 0.5000 0.5000
Hf1 0.0000 0.0000 0.5000
Hf2 0.5000 0.0000 0.0000
Ga1 0.0000 0.5000 0.0000
In1 0.0000 0.0000 0.0000

Summary:
Its mass density is 7030 kg/m3. Its space group is P4/mmm, No. 123. The total magnetization is 0.00 μB per cell. The calculation puts the energy relative to the elements at 2.355 eV per atom.

---

Below is a relaxed structure of KHfGa2C, with properties calculated at the GGA-PBE level.

Lattice parameters (Å, degrees): 4.4174 4.9246 4.4174 90.00 90.00 90.00
Fractional coordinates of all 5 atoms:
K1 0.0000 0.5000 0.0000
Hf1 0.5000 0.5000 0.5000
C1 0.0000 0.0000 0.0000
Ga1 0.0000 0.0000 0.5000
Ga2 0.5000 0.0000 0.0000

Summary:
Its mass density is 6377 kg/m3. Its space group is P4/mmm, No. 123. The total magnetization is 0.00 μB per cell. The calculation puts the energy relative to the elements at 1.259 eV per atom.

---

Below is a relaxed structure of Hf6GaC2N3, with properties calculated at the GGA-PBE level.

Lattice parameters (Å, degrees): 3.2886 6.8463 7.4835 102.81 102.69 90.00
Fractional coordinates of all 12 atoms:
Hf1 0.3212 0.8975 0.6424
Hf2 0.6695 0.5771 0.3391
Hf3 0.6788 0.1025 0.3576
Hf4 0.9994 0.2839 0.9988
Hf5 0.0006 0.7161 0.0012
Hf6 0.3305 0.4229 0.6609
Ga1 0.5000 0.0000 0.0000
C1 0.8304 0.6624 0.6608
C2 0.1696 0.3376 0.3392
N1 0.5000 0.5000 0.0000
N2 0.8300 0.1721 0.6601
N3 0.1700 0.8279 0.3399

Summary:
Its mass density is 12518 kg/m3. For the formation energy (no corrections), the calculation gives -1.0735 eV/atom. Its space group is C2/m, No. 12. The total magnetization is 0.00 μB per cell.